Entry from Alexandria: a geometry-optimized LiLaH3 structure (GGA-PBE). Values from VASP.

Geometry as Quantum ESPRESSO input:
```
&SYSTEM
  ibrav = 0, nat = 5, ntyp = 3
/
ATOMIC_SPECIES
Li 6.94 Li.upf
La 138.91 La.upf
H 1.01 H.upf
ATOMIC_POSITIONS crystal
Li 0.000 0.000 0.000
La 0.500 0.500 0.500
H 0.000 0.000 0.500
H 0.000 0.500 0.000
H 0.500 0.000 0.000
CELL_PARAMETERS angstrom
3.775 0.000 0.000
0.000 3.775 0.000
0.000 0.000 3.775
```

## Properties
D(E_F): 2.0 states/eV/f.u.
mass density: 4593 kg/m³
relative energy among the computed polymorphs: 30 meV per atom
E_tot: -3.842 eV per atom
magnetization: 0.0 μB/f.u.

***

Entry from Alexandria: a geometry-optimized Li2La4H structure (GGA-PBE). Values from VASP.

Geometry as Quantum ESPRESSO input:
```
&SYSTEM
  ibrav = 0, nat = 7, ntyp = 3
/
ATOMIC_SPECIES
Li 6.94 Li.upf
La 138.91 La.upf
H 1.01 H.upf
ATOMIC_POSITIONS crystal
Li 0.124 0.124 0.000
Li 0.876 0.876 0.000
La 0.000 0.500 0.500
La 0.316 0.316 0.000
La 0.500 0.000 0.500
La 0.684 0.684 0.000
H 0.500 0.500 0.000
CELL_PARAMETERS angstrom
-2.492 2.492 7.930
2.492 -2.492 7.930
2.492 2.492 -7.930
```

## Properties
D(E_F): 9.5 states/eV/f.u.
mass density: 4810 kg/m³
E_tot: -3.765 eV per atom
magnetization: 0.0 μB/f.u.

***

Entry from Alexandria: a geometry-optimized LiLaH4 structure (GGA-PBE). Values from VASP.

Geometry as Quantum ESPRESSO input:
```
&SYSTEM
  ibrav = 0, nat = 6, ntyp = 3
/
ATOMIC_SPECIES
Li 6.94 Li.upf
La 138.91 La.upf
H 1.01 H.upf
ATOMIC_POSITIONS crystal
Li 0.000 0.000 0.000
La 0.462 0.538 0.500
H 0.049 0.195 0.389
H 0.119 0.469 0.902
H 0.531 0.881 0.098
H 0.805 0.951 0.611
CELL_PARAMETERS angstrom
3.259 -2.184 0.000
3.259 2.184 0.000
-1.630 0.000 4.282
```

## Properties
mass density: 4082 kg/m³
E_tot: -3.797 eV per atom
magnetization: 0.0 μB/f.u.

***

Entry from Alexandria: a geometry-optimized Li2LaH structure (GGA-PBE). Values from VASP.

Geometry as Quantum ESPRESSO input:
```
&SYSTEM
  ibrav = 0, nat = 8, ntyp = 3
/
ATOMIC_SPECIES
Li 6.94 Li.upf
La 138.91 La.upf
H 1.01 H.upf
ATOMIC_POSITIONS crystal
Li 0.000 0.000 0.000
Li 0.000 0.000 0.500
Li 0.000 0.500 0.000
Li 0.500 0.000 0.000
La 0.375 0.375 0.375
La 0.625 0.625 0.625
H 0.125 0.125 0.125
H 0.875 0.875 0.875
CELL_PARAMETERS angstrom
0.000 4.231 4.231
4.231 0.000 4.231
4.231 4.231 0.000
```

## Properties
D(E_F): 1.8 states/eV/f.u.
mass density: 3371 kg/m³
relative energy among the computed polymorphs: 89 meV per atom
E_tot: -2.916 eV per atom
magnetization: 1.0 μB/f.u.

***

Entry from Alexandria: a geometry-optimized LiLa2MgH structure (GGA-PBE). Values from VASP.

Geometry as Quantum ESPRESSO input:
```
&SYSTEM
  ibrav = 0, nat = 5, ntyp = 4
/
ATOMIC_SPECIES
Li 6.94 Li.upf
La 138.91 La.upf
Mg 24.30 Mg.upf
H 1.01 H.upf
ATOMIC_POSITIONS crystal
Li 0.000 0.000 0.000
La 0.000 0.500 0.500
La 0.500 0.000 0.500
Mg 0.500 0.500 0.000
H 0.500 0.500 0.500
CELL_PARAMETERS angstrom
5.097 0.000 0.000
0.000 5.097 0.000
0.000 0.000 4.587
```

## Properties
D(E_F): 3.3 states/eV/f.u.
mass density: 4321 kg/m³
relative energy among the computed polymorphs: 66 meV per atom
E_tot: -3.476 eV per atom
magnetization: 0.0 μB/f.u.

***

Entry from Alexandria: a geometry-optimized Li2LaMgH structure (GGA-PBE). Values from VASP.

Geometry as Quantum ESPRESSO input:
```
&SYSTEM
  ibrav = 0, nat = 5, ntyp = 4
/
ATOMIC_SPECIES
Li 6.94 Li.upf
La 138.91 La.upf
Mg 24.30 Mg.upf
H 1.01 H.upf
ATOMIC_POSITIONS crystal
Li 0.000 0.500 0.000
Li 0.500 0.000 0.000
La 0.000 0.000 0.500
Mg 0.500 0.500 0.500
H 0.000 0.000 0.000
CELL_PARAMETERS angstrom
4.710 0.000 0.000
0.000 4.710 0.000
0.000 0.000 4.853
```

## Properties
D(E_F): 3.1 states/eV/f.u.
mass density: 2747 kg/m³
E_tot: -2.800 eV per atom
magnetization: 0.0 μB/f.u.

***

Entry from Alexandria: a geometry-optimized LiLa2MgH structure (GGA-PBE). Values from VASP.

Geometry as Quantum ESPRESSO input:
```
&SYSTEM
  ibrav = 0, nat = 5, ntyp = 4
/
ATOMIC_SPECIES
Li 6.94 Li.upf
La 138.91 La.upf
Mg 24.30 Mg.upf
H 1.01 H.upf
ATOMIC_POSITIONS crystal
Li 0.000 0.000 0.000
La 0.000 0.500 0.500
La 0.500 0.000 0.500
Mg 0.500 0.500 0.000
H 0.000 0.000 0.500
CELL_PARAMETERS angstrom
5.345 0.000 0.000
0.000 5.345 0.000
0.000 0.000 4.136
```

## Properties
D(E_F): 3.3 states/eV/f.u.
mass density: 4358 kg/m³
relative energy among the computed polymorphs: 0 meV per atom
E_tot: -3.541 eV per atom
magnetization: 0.0 μB/f.u.

***

Entry from Alexandria: a geometry-optimized LiLaNbH2 structure (GGA-PBE). Values from VASP.

Geometry as Quantum ESPRESSO input:
```
&SYSTEM
  ibrav = 0, nat = 5, ntyp = 4
/
ATOMIC_SPECIES
Li 6.94 Li.upf
La 138.91 La.upf
Nb 92.91 Nb.upf
H 1.01 H.upf
ATOMIC_POSITIONS crystal
Li 0.000 0.000 0.000
La 0.500 0.500 0.000
Nb 0.000 0.000 0.500
H 0.000 0.500 0.500
H 0.500 0.000 0.500
CELL_PARAMETERS angstrom
3.984 0.000 0.000
0.000 3.984 0.000
0.000 0.000 4.757
```

## Properties
D(E_F): 3.4 states/eV/f.u.
mass density: 5294 kg/m³
E_tot: -4.363 eV per atom
magnetization: 0.0 μB/f.u.